# 1
First-principles (PBE) data for a relaxed Ce2PuRu3 crystal, as listed in Alexandria via LeMat-Bulk.

abc: 6.0515 6.0515 8.9243
angles: 112.78 112.78 54.43
Fractional positions:
Ce 0.0263 0.3061 0.0830
Ce 0.3061 0.0263 0.5830
Ce 0.6939 0.9737 0.4170
Ce 0.9737 0.6939 0.9170
Pu 0.3351 0.6649 0.7500
Pu 0.6649 0.3351 0.2500
Ru 0.1706 0.5096 0.4228
Ru 0.1820 0.8180 0.2500
Ru 0.4904 0.8294 0.0772
Ru 0.5096 0.1706 0.9228
Ru 0.8180 0.1820 0.7500
Ru 0.8294 0.4904 0.5772

Output
Symmetry: C2/c
Total magnetic moment (μB per cell): 8.9
DOS(E_F) (states/eV per cell): 16.22

# 2
First-principles (PBE) data for a relaxed ZnHgTe2 crystal, as listed in Alexandria via LeMat-Bulk.

abc: 5.2419 5.2419 5.2419
angles: 60.00 60.00 60.00
Fractional positions:
Zn 0.0000 0.0000 0.0000
Hg 0.5000 0.5000 0.5000
Te 0.2500 0.2500 0.2500
Te 0.7500 0.7500 0.7500

Output
Symmetry: Fm-3m
Total magnetic moment (μB per cell): 0.0
DOS(E_F) (states/eV per cell): 2.55
Raw formation energy (kcal/mol of atoms): 5.7

# 3
First-principles (PBE) data for a relaxed YSc2Br6 crystal, as listed in Alexandria via LeMat-Bulk.

abc: 8.0324 8.0324 10.4795
angles: 114.59 114.59 27.25
Fractional positions:
Y 0.0000 0.0000 0.0000
Sc 0.3214 0.3214 0.6474
Sc 0.6786 0.6786 0.3526
Br 0.0345 0.0345 0.2893
Br 0.3111 0.3111 0.3834
Br 0.3490 0.3490 0.9349
Br 0.6510 0.6510 0.0651
Br 0.6889 0.6889 0.6166
Br 0.9655 0.9655 0.7107

Output
Symmetry: C2/m
Total magnetic moment (μB per cell): 0.1
DOS(E_F) (states/eV per cell): 6.19
Raw formation energy (kcal/mol of atoms): -35.7

# 4
First-principles (PBE) data for a relaxed YTaOF2 crystal, as listed in Alexandria via LeMat-Bulk.

abc: 4.4605 4.4605 3.9676
angles: 90.00 90.00 90.00
Fractional positions:
Y 0.0000 0.0000 0.0000
Ta 0.5000 0.5000 0.5000
O 0.5000 0.5000 0.0000
F 0.0000 0.5000 0.5000
F 0.5000 0.0000 0.5000

Output
Symmetry: P4/mmm
Total magnetic moment (μB per cell): 2.7
DOS(E_F) (states/eV per cell): 3.82
Raw formation energy (kcal/mol of atoms): -38.7
E above lowest polymorph (eV/atom): 0.0000

# 5
First-principles (PBE) data for a relaxed Ca2AgAs2 crystal, as listed in Alexandria via LeMat-Bulk.

abc: 7.3365 7.3365 4.3028
angles: 90.00 90.00 90.00
Fractional positions:
Ca 0.1767 0.3233 0.0000
Ca 0.3233 0.8233 0.0000
Ca 0.6767 0.1767 0.0000
Ca 0.8233 0.6767 0.0000
Ag 0.0000 0.0000 0.5000
Ag 0.5000 0.5000 0.5000
As 0.1255 0.6255 0.5000
As 0.3745 0.1255 0.5000
As 0.6255 0.8745 0.5000
As 0.8745 0.3745 0.5000

Output
Symmetry: P4/mbm
Total magnetic moment (μB per cell): 0.0
DOS(E_F) (states/eV per cell): 5.61
E above lowest polymorph (eV/atom): 0.0345

# 6
First-principles (PBE) data for a relaxed MnZnFe3 crystal, as listed in Alexandria via LeMat-Bulk.

abc: 4.2061 4.2061 4.2061
angles: 90.00 90.00 90.00
Fractional positions:
Mn 0.0000 0.0000 0.0000
Zn 0.5000 0.5000 0.5000
Fe 0.0000 0.0000 0.5000
Fe 0.0000 0.5000 0.0000
Fe 0.5000 0.0000 0.0000

Output
Symmetry: Pm-3m
Total magnetic moment (μB per cell): 4.8
DOS(E_F) (states/eV per cell): 7.21
E above lowest polymorph (eV/atom): 0.7406

# 7
First-principles (PBE) data for a relaxed La2TbPmY crystal, as listed in Alexandria via LeMat-Bulk.

abc: 7.2890 7.2890 7.3368
angles: 90.00 90.00 108.79
Fractional positions:
La 0.1950 0.1950 0.0000
La 0.1950 0.1950 0.5000
La 0.8050 0.8050 0.0000
La 0.8050 0.8050 0.5000
Tb 0.4732 0.5268 0.7500
Tb 0.5268 0.4732 0.2500
Pm 0.2143 0.7857 0.7500
Pm 0.7857 0.2143 0.2500
Y 0.2502 0.7498 0.2500
Y 0.7498 0.2502 0.7500

Output
Symmetry: Cmcm
Total magnetic moment (μB per cell): 0.0
DOS(E_F) (states/eV per cell): 14.02

# 8
First-principles (PBE) data for a relaxed CrRe2As crystal, as listed in Alexandria via LeMat-Bulk.

abc: 4.3328 4.3328 4.3328
angles: 60.00 60.00 60.00
Fractional positions:
Cr 0.0000 0.0000 0.0000
Re 0.5000 0.5000 0.5000
Re 0.7500 0.7500 0.7500
As 0.2500 0.2500 0.2500

Output
Symmetry: F-43m
Total magnetic moment (μB per cell): 0.6
DOS(E_F) (states/eV per cell): 4.87

# 9
First-principles (PBE) data for a relaxed Ba2Zn3Ag4Sn crystal, as listed in Alexandria via LeMat-Bulk.

abc: 4.7484 4.7484 11.0207
angles: 90.00 90.00 90.00
Fractional positions:
Ba 0.0000 0.5000 0.2460
Ba 0.5000 0.0000 0.7540
Zn 0.0000 0.5000 0.8815
Zn 0.5000 0.0000 0.1185
Zn 0.5000 0.5000 0.5000
Ag 0.0000 0.0000 0.0000
Ag 0.0000 0.5000 0.6384
Ag 0.5000 0.0000 0.3616
Ag 0.5000 0.5000 0.0000
Sn 0.0000 0.0000 0.5000

Output
Symmetry: P-4m2
Total magnetic moment (μB per cell): 0.0
DOS(E_F) (states/eV per cell): 4.85

# 10
First-principles (PBE) data for a relaxed Na2GePt2 crystal, as listed in Alexandria via LeMat-Bulk.

abc: 5.6227 5.6227 7.5652
angles: 98.68 98.68 64.09
Fractional positions:
Na 0.0241 0.2682 0.1422
Na 0.2682 0.0241 0.6422
Na 0.7318 0.9759 0.3578
Na 0.9759 0.7318 0.8578
Ge 0.4361 0.5639 0.2500
Ge 0.5639 0.4361 0.7500
Pt 0.2252 0.5070 0.4914
Pt 0.4930 0.7748 0.0086
Pt 0.5070 0.2252 0.9914
Pt 0.7748 0.4930 0.5086

Output
Symmetry: C2/c
Total magnetic moment (μB per cell): 0.0
DOS(E_F) (states/eV per cell): 2.65
E above lowest polymorph (eV/atom): 0.0000

# 11
First-principles (PBE) data for a relaxed Ho2Th3Rh2 crystal, as listed in Alexandria via LeMat-Bulk.

abc: 6.1711 6.1711 8.9687
angles: 108.70 108.70 36.17
Fractional positions:
Ho 0.1636 0.1636 0.2979
Ho 0.8364 0.8364 0.7021
Th 0.3793 0.3793 0.0622
Th 0.5000 0.5000 0.5000
Th 0.6207 0.6207 0.9378
Rh 0.1424 0.1424 0.7029
Rh 0.8576 0.8576 0.2971

Output
Symmetry: C2/m
Total magnetic moment (μB per cell): 0.0
DOS(E_F) (states/eV per cell): 6.86

# 12
First-principles (PBE) data for a relaxed BaMo2As crystal, as listed in Alexandria via LeMat-Bulk.

abc: 9.8343 9.8343 9.8343
angles: 151.54 151.54 40.69
Fractional positions:
Ba 0.0000 0.0000 0.0000
Ba 0.7500 0.2500 0.5000
Mo 0.3420 0.1250 0.7170
Mo 0.3750 0.6580 0.7830
Mo 0.4080 0.6250 0.2830
Mo 0.8750 0.5920 0.2170
As 0.2500 0.7500 0.5000
As 0.5000 0.5000 0.0000

Output
Symmetry: I-42d
Total magnetic moment (μB per cell): 0.0
DOS(E_F) (states/eV per cell): 7.36

| no. | total DFT energy (no corrections) (eV per atom) |
| --- | --- |
| 1 | -9.208 |
| 2 | -1.718 |
| 3 | -4.790 |
| 4 | -7.083 |
| 5 | -3.978 |
| 6 | -6.077 |
| 7 | -4.755 |
| 8 | -9.368 |
| 9 | -2.541 |
| 10 | -4.331 |
| 11 | -7.126 |
| 12 | -6.533 |